No. 1
VASP calculation (PBE) on Si2HgOs after structural relaxation.

Structure (POSCAR):
```
Si2HgOs
1.0
-1.966 1.966 4.077
1.966 -1.966 4.077
1.966 1.966 -4.077
Si Hg Os
2 1 1
direct
0.000 0.000 0.000 Si
0.750 0.250 0.500 Si
0.250 0.750 0.500 Hg
0.500 0.500 0.000 Os
```

Output
Uncorrected formation energy, eV/atom: 0.739



No. 2
VASP calculation (PBE) on TiSiHgOs2 after structural relaxation.

Structure (POSCAR):
```
TiSiHgOs2
1.0
4.957 0.000 0.000
0.000 4.957 0.000
0.000 0.000 4.461
Ti Si Hg Os
1 1 1 2
direct
0.000 0.000 0.000 Ti
0.500 0.500 0.000 Si
0.500 0.500 0.500 Hg
0.000 0.500 0.500 Os
0.500 0.000 0.500 Os
```

Output
Uncorrected formation energy, eV/atom: 2.376



No. 3
VASP calculation (PBE) on TiSi2HgOs after structural relaxation.

Structure (POSCAR):
```
TiSi2HgOs
1.0
4.658 0.000 0.000
0.000 4.658 0.000
0.000 0.000 5.020
Ti Si Hg Os
1 2 1 1
direct
0.000 0.000 0.000 Ti
0.000 0.500 0.500 Si
0.500 0.000 0.500 Si
0.000 0.000 0.500 Hg
0.500 0.500 0.000 Os
```

Output
Uncorrected formation energy, eV/atom: 1.986



No. 4
VASP calculation (PBE) on SiHgOsW2 after structural relaxation.

Structure (POSCAR):
```
SiHgOsW2
1.0
4.779 0.000 0.000
0.000 4.779 0.000
0.000 0.000 5.135
Si Hg Os W
1 1 1 2
direct
0.000 0.000 0.000 Si
0.500 0.500 0.000 Hg
0.500 0.500 0.500 Os
0.000 0.500 0.500 W
0.500 0.000 0.500 W
```

Output
Uncorrected formation energy, eV/atom: 1.973



No. 5
VASP calculation (PBE) on YSi2HgOs after structural relaxation.

Structure (POSCAR):
```
YSi2HgOs
1.0
5.321 0.000 0.000
0.000 5.321 0.000
0.000 0.000 5.157
Y Si Hg Os
1 2 1 1
direct
0.000 0.000 0.000 Y
0.000 0.500 0.000 Si
0.500 0.000 0.000 Si
0.500 0.500 0.500 Hg
0.000 0.000 0.500 Os
```

Output
Uncorrected formation energy, eV/atom: 1.723



No. 6
VASP calculation (PBE) on ZnSiHgOs2 after structural relaxation.

Structure (POSCAR):
```
ZnSiHgOs2
1.0
4.655 0.000 0.000
0.000 4.655 0.000
0.000 0.000 4.240
Zn Si Hg Os
1 1 1 2
direct
0.000 0.000 0.000 Zn
0.000 0.000 0.500 Si
0.500 0.500 0.500 Hg
0.000 0.500 0.000 Os
0.500 0.000 0.000 Os
```

Output
Uncorrected formation energy, eV/atom: 1.737



No. 7
VASP calculation (PBE) on ZnSiHg2Os after structural relaxation.

Structure (POSCAR):
```
ZnSiHg2Os
1.0
5.203 0.000 0.000
0.000 5.203 0.000
0.000 0.000 4.800
Zn Si Hg Os
1 1 2 1
direct
0.000 0.000 0.000 Zn
0.500 0.500 0.000 Si
0.000 0.500 0.500 Hg
0.500 0.000 0.500 Hg
0.000 0.000 0.500 Os
```

Output
Uncorrected formation energy, eV/atom: 1.169



No. 8
VASP calculation (PBE) on Sm8HgOs2 after structural relaxation.

Structure (POSCAR):
```
Sm8HgOs2
1.0
4.441 -6.613 0.000
4.441 6.613 0.000
-1.321 0.000 5.488
Sm Hg Os
8 1 2
direct
0.000 0.000 0.000 Sm
0.054 0.317 0.622 Sm
0.135 0.629 0.204 Sm
0.317 0.054 0.622 Sm
0.446 0.710 0.786 Sm
0.629 0.135 0.204 Sm
0.710 0.446 0.786 Sm
0.763 0.763 0.407 Sm
0.382 0.382 0.205 Hg
0.070 0.694 0.704 Os
0.694 0.070 0.704 Os
```

Output
Energy relative to the elements, eV per formula unit: -1.3



Computed values of raw total energy (unit: eV per atom) for the preceding records, in sequence: -4.856 -4.840 -4.069 -6.600 -4.045 -4.155 -2.537 -5.619.